No. 1
# LiHo3Te4, relaxed, DFT GGA-PBE
data_LiHo3Te4
_cell_length_a 6.089
_cell_length_b 9.776
_cell_length_c 8.865
_cell_angle_alpha 90.00
_cell_angle_beta 90.00
_cell_angle_gamma 90.00
_space_group_name_H-M_alt 'P m m n'
_space_group_IT_number 59
loop_
_space_group_symop_operation_xyz
'x,y,z'
'-x,-y,-z'
'-x+1/2,-y+1/2,z'
'x+1/2,y+1/2,-z'
'x+1/2,-y,-z'
'-x+1/2,y,z'
'-x,y+1/2,-z'
'x,-y+1/2,z'
loop_
_atom_site_label
_atom_site_type_symbol
_atom_site_fract_x
_atom_site_fract_y
_atom_site_fract_z
Li1 Li 0.250 0.250 0.096
Ho1 Ho 0.250 0.545 0.659
Ho2 Ho 0.250 0.750 0.263
Te1 Te 0.250 0.052 0.335
Te2 Te 0.250 0.250 0.774
Te3 Te 0.250 0.750 0.915
# DOS at the Fermi energy = 6.87 states/eV/cell

***

No. 2
# LiHo5Te4, relaxed, DFT GGA-PBE
data_LiHo5Te4
_cell_length_a 17.972
_cell_length_b 4.132
_cell_length_c 8.290
_cell_angle_alpha 90.00
_cell_angle_beta 102.13
_cell_angle_gamma 90.00
_space_group_name_H-M_alt 'C 1 2/m 1'
_space_group_IT_number 12
_space_group_name_Hall '-C 2y'
loop_
_atom_site_label
_atom_site_type_symbol
_atom_site_fract_x
_atom_site_fract_y
_atom_site_fract_z
Li1 Li 0.000 0.000 0.000
Ho1 Ho 0.000 0.000 0.500
Ho2 Ho 0.169 0.500 0.800
Ho3 Ho 0.186 0.500 0.360
Te1 Te 0.007 0.500 0.242
Te2 Te 0.161 0.000 0.069
# DOS at the Fermi energy = 14.87 states/eV/cell

***

No. 3
# Li3Ho5Te8, relaxed, DFT GGA-PBE
data_Li3Ho5Te8
_cell_length_a 8.6090
_cell_length_b 8.6090
_cell_length_c 21.2122
_cell_angle_alpha 90.00
_cell_angle_beta 90.00
_cell_angle_gamma 120.00
_space_group_name_H-M_alt 'R -3 m'
_space_group_IT_number 166
_space_group_name_Hall '-R 3 2"'
loop_
_atom_site_label
_atom_site_type_symbol
_atom_site_fract_x
_atom_site_fract_y
_atom_site_fract_z
Li1 Li 0.0000 0.5000 0.0000
Ho1 Ho 0.0000 0.0000 0.0000
Ho2 Ho 0.0000 0.0000 0.5000
Ho3 Ho 0.0000 0.5000 0.5000
Te1 Te 0.0000 0.0000 0.2520
Te2 Te 0.0049 0.5024 0.2524
# DOS at the Fermi energy = 11.65 states/eV/cell

***

no.,E_form (uncorrected) (eV per atom)
1,-1.126
2,-0.880
3,-1.295